## LiZn2Ag2 (GGA-PBE)

Data for crystalline LiZn2Ag2 at its relaxed geometry.

abc: 7.5761 7.5761 3.0003
angles: 90.00 90.00 90.00
Fractional coordinates of all 10 atoms:
Li 0.0000 0.0000 0.0000
Li 0.5000 0.5000 0.0000
Zn 0.1561 0.3439 0.5000
Zn 0.3439 0.8439 0.5000
Zn 0.6561 0.1561 0.5000
Zn 0.8439 0.6561 0.5000
Ag 0.1432 0.6432 0.0000
Ag 0.3568 0.1432 0.0000
Ag 0.6432 0.8568 0.0000
Ag 0.8568 0.3568 0.0000

Properties
* size of the total moment: 0.000 μB/cell
* raw total energy: -2.123 eV per atom
* polymorph energy (0 for the lowest one): 54 meV/atom



## Li2ZnAg (GGA-PBE)

Data for crystalline Li2ZnAg at its relaxed geometry.

abc: 2.9461 4.5754 4.5757
angles: 90.00 90.00 90.00
Fractional coordinates of all 4 atoms:
Li 0.0000 0.0000 0.0000
Li 0.0000 0.5000 0.4985
Zn 0.5000 0.0000 0.5000
Ag 0.5000 0.5000 0.9984

Properties
* size of the total moment: 0.000 μB/cell
* raw total energy: -2.160 eV per atom